Here is crystalline NpHN at its relaxed geometry from Alexandria via LeMat-Bulk. Energies are from GGA-PBE.

a b c (Å): 3.721 3.721 3.721
angles (deg): 60.00 60.00 60.00
Element x y z (fractional)
Np  0.000  0.000  0.000
H  0.750  0.750  0.750
N  0.250  0.250  0.250

As for the space-group type: F-43m (216). The crystal system is cubic. Its total energy is -9.02 eV/atom. The spin magnetization comes out at 3.0 μB per formula unit. For the density of states at the Fermi level, the calculation gives 6.35 states/eV/cell.